Record 1
# CeYErZr

An optimized crystal structure of CeYErZr (PBE, the Alexandria database).

The formation energy from the elements comes out at 0.220 eV per atom. The crystal system is cubic. For the size of the total moment, the calculation gives 0.519 μB per atom.

Unit cell a=7.732 b=7.732 c=7.732 alpha=90.00 beta=90.00 gamma=90.00
Space group F-43m (No. 216)
Symmetry-distinct sites (fractional):
Ce: 0.000 0.000 0.000 (multiplicity 4)
Y: 0.000 0.000 0.500 (multiplicity 4)
Er: 0.250 0.250 0.250 (multiplicity 4)
Zr: 0.250 0.250 0.750 (multiplicity 4)


Record 2
# CeEr5Zn4

An optimized crystal structure of CeEr5Zn4 (PBE, the Alexandria database).

The formation energy from the elements comes out at -0.259 eV per atom. The crystal system is tetragonal. For the size of the total moment, the calculation gives 0.072 μB per atom.

Unit cell a=3.524 b=3.524 c=19.104 alpha=90.00 beta=90.00 gamma=90.00
Space group P4/mmm (No. 123)
Symmetry-distinct sites (fractional):
Ce: 0.000 0.000 0.000 (multiplicity 1)
Er: 0.500 0.500 0.130 (multiplicity 2)
Er: 0.500 0.500 0.315 (multiplicity 2)
Er: 0.500 0.500 0.500 (multiplicity 1)
Zn: 0.000 0.000 0.221 (multiplicity 2)
Zn: 0.000 0.000 0.406 (multiplicity 2)


Record 3
# Ce3ErZn8

An optimized crystal structure of Ce3ErZn8 (PBE, the Alexandria database).

Its energy above the most stable polymorph in this dataset is 0.008 eV per atom. The formation energy from the elements comes out at -0.275 eV per atom. The crystal system is trigonal. For the size of the total moment, the calculation gives 0.158 μB per atom.

Unit cell a=5.6040 b=5.6040 c=8.5558 alpha=90.00 beta=90.00 gamma=120.00
Space group P3m1 (No. 156)
Symmetry-distinct sites (fractional):
Ce: 0.0000 0.0000 0.0000 (multiplicity 1)
Ce: 0.0000 0.0000 0.3391 (multiplicity 1)
Ce: 0.3333 0.6667 0.8654 (multiplicity 1)
Er: 0.3333 0.6667 0.4867 (multiplicity 1)
Zn: 0.0003 0.5002 0.1759 (multiplicity 3)
Zn: 0.3259 0.1629 0.6695 (multiplicity 3)
Zn: 0.6667 0.3333 0.4233 (multiplicity 1)
Zn: 0.6667 0.3333 0.9202 (multiplicity 1)


Record 4
# Ce5ErZn6

An optimized crystal structure of Ce5ErZn6 (PBE, the Alexandria database).

The formation energy from the elements comes out at -0.211 eV per atom. The crystal system is orthorhombic. For the size of the total moment, the calculation gives 0.027 μB per atom.

Unit cell a=4.483 b=13.633 c=8.680 alpha=90.00 beta=90.00 gamma=90.00
Space group Cmmm (No. 65)
Symmetry-distinct sites (fractional):
Ce: 0.000 0.000 0.000 (multiplicity 2)
Ce: 0.000 0.314 0.500 (multiplicity 4)
Ce: 0.000 0.331 0.000 (multiplicity 4)
Er: 0.000 0.000 0.500 (multiplicity 2)
Zn: 0.000 0.156 0.251 (multiplicity 8)
Zn: 0.000 0.500 0.260 (multiplicity 4)


Question: What is the formation energy from the elements in the first record?
Answer: 0.220 eV per atom